Entry 1:
CaMgTc2 | PBE | optimized geometry

a b c (Å): 3.266 4.746 9.750
angles (deg): 90.00 90.00 90.00
Space group Cmm2 (No. 35)
Symmetry-distinct sites (fractional):
Ca 0.000 0.000 0.000 (multiplicity 2)
Mg 0.000 0.500 0.688 (multiplicity 2)
Tc 0.000 0.000 0.452 (multiplicity 2)
Tc 0.000 0.500 0.252 (multiplicity 2)

## Properties
Magnetization = 0.00 μB/cell
VASP energy = -44.8 eV per cell
Formation energy = 0.476 eV per atom

Entry 2:
YHoRh | PBE | optimized geometry

a b c (Å): 3.449 3.449 12.616
angles (deg): 90.00 90.00 90.00
Space group I4mm (No. 107)
Symmetry-distinct sites (fractional):
Y 0.000 0.000 0.000 (multiplicity 2)
Ho 0.000 0.000 0.738 (multiplicity 2)
Rh 0.000 0.000 0.366 (multiplicity 2)

## Properties
Magnetization = 0.00 μB/cell
VASP energy = -40.1 eV per cell
Formation energy = -0.560 eV per atom

Entry 3:
LiBi2Pd | PBE | optimized geometry

a b c (Å): 3.5508 3.5508 28.8659
angles (deg): 90.00 90.00 120.00
Space group R-3m (No. 166, hexagonal axes)
Symmetry-distinct sites (fractional):
Li 0.0000 0.0000 0.0000 (multiplicity 3)
Bi 0.0000 0.0000 0.0975 (multiplicity 6)
Pd 0.0000 0.0000 0.5000 (multiplicity 3)

## Properties
Magnetization = 0.00 μB/cell
VASP energy = -46.1 eV per cell
Formation energy = -0.124 eV per atom

Entry 4:
PmEr7Sc12 | PBE | optimized geometry

a b c (Å): 11.4725 11.4725 14.7887
angles (deg): 90.00 90.00 120.00
Space group R-3 (No. 148, hexagonal axes)
Symmetry-distinct sites (fractional):
Pm 0.0000 0.0000 0.0000 (multiplicity 3)
Er 0.0000 0.0000 0.5000 (multiplicity 3)
Er 0.0401 0.1895 0.7983 (multiplicity 18)
Sc 0.0048 0.4399 0.7135 (multiplicity 18)
Sc 0.0496 0.5901 0.0842 (multiplicity 18)

## Properties
Magnetization = 0.00 μB/cell
VASP energy = -324.8 eV per cell
Formation energy = 0.220 eV per atom

Entry 5:
GaTc3 | PBE | optimized geometry

a b c (Å): 3.703 3.703 8.486
angles (deg): 90.00 90.00 90.00
Space group I4/mmm (No. 139)
Symmetry-distinct sites (fractional):
Ga 0.000 0.000 0.000 (multiplicity 2)
Tc 0.000 0.000 0.500 (multiplicity 2)
Tc 0.000 0.500 0.250 (multiplicity 4)

## Properties
Magnetization = 0.00 μB/cell
VASP energy = -68.1 eV per cell
Formation energy = 0.017 eV per atom

Entry 6:
TeOs2Br | PBE | optimized geometry

a b c (Å): 6.805 3.931 8.241
angles (deg): 90.00 90.06 90.00
Space group Cm (No. 8)
Symmetry-distinct sites (fractional):
Te 0.000 0.000 0.000 (multiplicity 2)
Os 0.167 0.500 0.297 (multiplicity 2)
Os 0.334 0.000 0.191 (multiplicity 2)
Br 0.168 0.500 0.583 (multiplicity 2)

## Properties
Magnetization = 0.00 μB/cell
VASP energy = -52.0 eV per cell
Formation energy from raw total energies = 320 meV/atom

Entry 7:
BiRhN2 | PBE | optimized geometry

a b c (Å): 3.2424 3.2424 19.6215
angles (deg): 90.00 90.00 120.00
Space group R-3m (No. 166, hexagonal axes)
Symmetry-distinct sites (fractional):
Bi 0.0000 0.0000 0.0000 (multiplicity 3)
Rh 0.0000 0.0000 0.5000 (multiplicity 3)
N 0.0000 0.0000 0.1196 (multiplicity 6)

## Properties
Magnetization = 0.00 μB/cell
VASP energy = -74.4 eV per cell
Formation energy from raw total energies = 772 meV/atom

Entry 8:
Pa2Br4F5 | PBE | optimized geometry

a b c (Å): 6.339 4.537 10.520
angles (deg): 90.00 95.10 90.00
Space group P2/m (No. 10)
Symmetry-distinct sites (fractional):
Pa 0.038 0.000 0.221 (multiplicity 2)
Br 0.231 0.500 0.364 (multiplicity 2)
Br 0.232 0.500 0.864 (multiplicity 2)
F 0.000 0.000 0.000 (multiplicity 1)
F 0.159 0.000 0.635 (multiplicity 2)
F 0.340 0.000 0.166 (multiplicity 2)

## Properties
Magnetization = 1.04 μB/cell
VASP energy = -64.7 eV per cell
Formation energy from raw total energies = -2695 meV/atom

Entry 9:
Mg2AuSe | PBE | optimized geometry

a b c (Å): 3.462 3.433 6.482
angles (deg): 90.00 90.58 90.00
Space group P2/m (No. 10)
Symmetry-distinct sites (fractional):
Mg 0.003 0.000 0.248 (multiplicity 2)
Au 0.500 0.500 0.000 (multiplicity 1)
Se 0.500 0.500 0.500 (multiplicity 1)

## Properties
Magnetization = 0.00 μB/cell
VASP energy = -12.5 eV per cell
Formation energy from raw total energies = -634 meV/atom

Entry 10:
DyPuNp2S4 | PBE | optimized geometry

a b c (Å): 6.766 3.898 6.805
angles (deg): 90.00 109.30 90.00
Space group P2/m (No. 10)
Symmetry-distinct sites (fractional):
Dy 0.000 0.000 0.000 (multiplicity 1)
Pu 0.000 0.500 0.500 (multiplicity 1)
Np 0.500 0.000 0.500 (multiplicity 1)
Np 0.500 0.500 0.000 (multiplicity 1)
S 0.249 0.500 0.250 (multiplicity 2)
S 0.251 0.000 0.751 (multiplicity 2)

## Properties
Magnetization = 5.53 μB/cell
VASP energy = -74.3 eV per cell
Formation energy from raw total energies = -1617 meV/atom

Entry 11:
Sc3UGa12 | PBE | optimized geometry

a b c (Å): 4.137 4.137 16.726
angles (deg): 90.00 90.00 90.00
Space group P4/mmm (No. 123)
Symmetry-distinct sites (fractional):
Sc 0.000 0.000 0.000 (multiplicity 1)
Sc 0.000 0.000 0.245 (multiplicity 2)
U 0.000 0.000 0.500 (multiplicity 1)
Ga 0.000 0.500 0.123 (multiplicity 4)
Ga 0.000 0.500 0.369 (multiplicity 4)
Ga 0.500 0.500 0.000 (multiplicity 1)
Ga 0.500 0.500 0.248 (multiplicity 2)
Ga 0.500 0.500 0.500 (multiplicity 1)

## Properties
Magnetization = 1.90 μB/cell
VASP energy = -73.6 eV per cell
Formation energy = -0.438 eV per atom

Entry 12:
YAg3C | PBE | optimized geometry

a b c (Å): 4.482 4.482 4.482
angles (deg): 90.00 90.00 90.00
Space group Pm-3m (No. 221)
Symmetry-distinct sites (fractional):
Y 0.000 0.000 0.000 (multiplicity 1)
Ag 0.000 0.500 0.500 (multiplicity 3)
C 0.500 0.500 0.500 (multiplicity 1)

## Properties
Magnetization = 0.00 μB/cell
VASP energy = -21.3 eV per cell
Formation energy = 0.591 eV per atom